(1)
First-principles (PBE-GGA) data for Y4Ga12Au after structural relaxation, as listed in Alexandria.

## Properties
energy of formation from the pure elements = -549 meV per atom
space-group type = No. 229

Unit cell a=7.531 b=7.531 c=7.531 alpha=109.47 beta=109.47 gamma=109.47
Fractional positions:
Y 0.000 0.000 0.500
Y 0.000 0.500 0.000
Y 0.500 0.000 0.000
Y 0.500 0.500 0.500
Ga 0.000 0.304 0.304
Ga 0.000 0.696 0.696
Ga 0.250 0.500 0.750
Ga 0.250 0.750 0.500
Ga 0.304 0.000 0.304
Ga 0.304 0.304 0.000
Ga 0.500 0.250 0.750
Ga 0.500 0.750 0.250
Ga 0.696 0.000 0.696
Ga 0.696 0.696 0.000
Ga 0.750 0.250 0.500
Ga 0.750 0.500 0.250
Au 0.000 0.000 0.000

***

(2)
First-principles (PBE-GGA) data for Y2Ga3Au5 after structural relaxation, as listed in Alexandria.

## Properties
energy of formation from the pure elements = -599 meV per atom
space-group type = No. 36

Unit cell a=12.574 b=12.574 c=7.126 alpha=90.00 beta=90.00 gamma=159.40
Fractional positions:
Y 0.018 0.982 0.500
Y 0.325 0.675 0.508
Y 0.675 0.325 0.008
Y 0.982 0.018 0.000
Ga 0.103 0.897 0.185
Ga 0.273 0.727 0.035
Ga 0.449 0.551 0.308
Ga 0.551 0.449 0.808
Ga 0.727 0.273 0.535
Ga 0.897 0.103 0.685
Au 0.105 0.895 0.807
Au 0.200 0.800 0.322
Au 0.215 0.785 0.734
Au 0.381 0.619 0.015
Au 0.450 0.550 0.695
Au 0.550 0.450 0.195
Au 0.619 0.381 0.515
Au 0.785 0.215 0.234
Au 0.800 0.200 0.822
Au 0.895 0.105 0.307

***

Respective DOS at the Fermi energy values: 7.06 9.45 states/eV per cell.